No. 1
Material: Hf2ReC
Method: DFT, PBE
State: optimized geometry

The structure in POSCAR format:
```
Hf2ReC
1.0
6.7182 0.0000 0.0000
0.0000 6.7182 0.0000
0.0000 0.0000 5.9298
Hf Re C
8 4 4
Direct
0.1759 0.7500 0.1250
0.2500 0.1759 0.8750
0.2500 0.3241 0.3750
0.3241 0.7500 0.6250
0.6759 0.2500 0.6250
0.7500 0.6759 0.3750
0.7500 0.8241 0.8750
0.8241 0.2500 0.1250
0.0000 0.0000 0.5000
0.0000 0.5000 0.7500
0.5000 0.0000 0.2500
0.5000 0.5000 0.0000
0.0000 0.0000 0.0000
0.0000 0.5000 0.2500
0.5000 0.0000 0.7500
0.5000 0.5000 0.5000
```

Calculated values
M_tot (μB/f.u.): 0.0
Crystal system: tetragonal
V (Å³/cell): 268
Calculated formation energy (eV per atom): 0.41
D(E_F) (states/eV/f.u.): 4.7



No. 2
Material: ScSbRh4
Method: DFT, PBE
State: optimized geometry

The structure in POSCAR format:
```
ScSbRh4
1.0
8.5396 0.0000 0.0000
0.0000 4.5312 0.0000
-0.3450 0.0000 5.1882
Sc Sb Rh
2 2 8
Direct
0.0000 0.0000 0.0000
0.5000 0.5000 0.0000
0.0000 0.5000 0.5000
0.5000 0.0000 0.5000
0.1822 0.0000 0.5892
0.1854 0.5000 0.9099
0.3146 0.0000 0.0901
0.3178 0.5000 0.4108
0.6822 0.5000 0.5892
0.6854 0.0000 0.9099
0.8146 0.5000 0.0901
0.8178 0.0000 0.4108
```

Calculated values
M_tot (μB/f.u.): 0.0
Formation energy (no corrections) (eV per atom): -0.45
Crystal system: monoclinic
V (Å³/cell): 201
Energy above the lowest structure with this stoichiometry (kJ/mol of formula units): 0.0
D(E_F) (states/eV/f.u.): 4.5



No. 3
Material: ZrAsBr2F
Method: DFT, PBE
State: optimized geometry

The structure in POSCAR format:
```
ZrAsBr2F
1.0
5.2152 0.0000 0.0000
0.0000 5.2152 0.0000
0.0000 0.0000 5.3645
Zr As Br F
1 1 2 1
Direct
0.0000 0.0000 0.0000
0.0000 0.0000 0.5000
0.0000 0.5000 0.0000
0.5000 0.0000 0.0000
0.5000 0.5000 0.5000
```

Calculated values
M_tot (μB/f.u.): 0.8
Formation energy (no corrections) (eV per atom): -0.56
Crystal system: tetragonal
V (Å³/cell): 146
Energy above the lowest structure with this stoichiometry (kJ/mol of formula units): 0.0
D(E_F) (states/eV/f.u.): 5.7



No. 4
Material: CuNi4Rh
Method: DFT, PBE
State: optimized geometry

The structure in POSCAR format:
```
CuNi4Rh
1.0
0.0000 3.3011 3.3011
3.3011 0.0000 3.3011
3.3011 3.3011 0.0000
Cu Ni Rh
1 4 1
Direct
0.0000 0.0000 0.0000
0.1245 0.6252 0.6252
0.6252 0.1245 0.6252
0.6252 0.6252 0.1245
0.6252 0.6252 0.6252
0.2500 0.2500 0.2500
```

Calculated values
M_tot (μB/f.u.): 3.1
Crystal system: cubic
V (Å³/cell): 72
Energy above the lowest structure with this stoichiometry (kJ/mol of formula units): 0.0
Calculated formation energy (eV per atom): 0.14
D(E_F) (states/eV/f.u.): 10.0



No. 5
Material: PmSm5Au6
Method: DFT, PBE
State: optimized geometry

The structure in POSCAR format:
```
PmSm5Au6
1.0
5.2202 0.0000 0.0000
0.0000 7.3016 0.0000
-2.5630 0.0000 7.8378
Pm Sm Au
1 5 6
Direct
0.0000 0.0000 0.0000
0.0000 0.5000 0.0000
0.3326 0.0000 0.6665
0.3329 0.5000 0.6670
0.6674 0.0000 0.3335
0.6671 0.5000 0.3330
0.1687 0.2506 0.3349
0.1687 0.7494 0.3349
0.5000 0.2517 0.0000
0.5000 0.7483 0.0000
0.8313 0.2506 0.6651
0.8313 0.7494 0.6651
```

Calculated values
M_tot (μB/f.u.): 0.0
Crystal system: monoclinic
V (Å³/cell): 299
Calculated formation energy (eV per atom): -0.80
D(E_F) (states/eV/f.u.): 7.8



No. 6
Material: Tb4Er8Pu
Method: DFT, PBE
State: optimized geometry

The structure in POSCAR format:
```
Tb4Er8Pu
1.0
5.4343 3.1375 4.4238
-5.4343 3.1375 4.4238
0.0000 -6.2750 4.4238
Tb Er Pu
4 8 1
Direct
0.0000 0.0000 0.0000
0.0000 0.5000 0.5000
0.5000 0.0000 0.5000
0.5000 0.5000 0.0000
0.2442 0.2442 0.7546
0.2442 0.7546 0.2442
0.2445 0.2445 0.2445
0.2454 0.7558 0.7558
0.7546 0.2442 0.2442
0.7555 0.7555 0.7555
0.7558 0.2454 0.7558
0.7558 0.7558 0.2454
0.5000 0.5000 0.5000
```

Calculated values
M_tot (μB/f.u.): 6.5
Crystal system: trigonal
V (Å³/cell): 453
Calculated formation energy (eV per atom): 0.52
D(E_F) (states/eV/f.u.): 19.0



No. 7
Material: LaNiRh2
Method: DFT, PBE
State: optimized geometry

The structure in POSCAR format:
```
LaNiRh2
1.0
3.0046 0.0000 0.0000
-1.5023 2.6021 0.0000
0.0000 0.0000 26.4867
La Ni Rh
3 3 6
Direct
0.0000 0.0000 0.0000
0.3333 0.6667 0.6667
0.6667 0.3333 0.3333
0.0000 0.0000 0.5000
0.3333 0.6667 0.1667
0.6667 0.3333 0.8333
0.0000 0.0000 0.2382
0.0000 0.0000 0.7618
0.3333 0.6667 0.4284
0.3333 0.6667 0.9049
0.6667 0.3333 0.0951
0.6667 0.3333 0.5716
```

Calculated values
M_tot (μB/f.u.): 2.0
Crystal system: trigonal
V (Å³/cell): 207
Energy above the lowest structure with this stoichiometry (kJ/mol of formula units): 328.8
Calculated formation energy (eV per atom): 0.34
D(E_F) (states/eV/f.u.): 8.5



No. 8
Material: KMnInGa2
Method: DFT, PBE
State: optimized geometry

The structure in POSCAR format:
```
KMnInGa2
1.0
4.8016 0.0000 0.0000
0.0000 4.8016 0.0000
0.0000 0.0000 5.0632
K Mn In Ga
1 1 1 2
Direct
0.0000 0.0000 0.0000
0.5000 0.5000 0.5000
0.5000 0.5000 0.0000
0.0000 0.5000 0.5000
0.5000 0.0000 0.5000
```

Calculated values
M_tot (μB/f.u.): 0.8
Crystal system: tetragonal
V (Å³/cell): 117
Calculated formation energy (eV per atom): -0.01
D(E_F) (states/eV/f.u.): 2.0



No. 9
Material: Li2ZrS3
Method: DFT, PBE
State: optimized geometry

The structure in POSCAR format:
```
Li2ZrS3
1.0
3.2492 -5.5451 0.0000
3.2492 5.5451 0.0000
-2.2481 0.0000 5.9949
Li Zr S
4 2 6
Direct
0.0859 0.9141 0.7500
0.2541 0.7459 0.2500
0.7459 0.2541 0.7500
0.9141 0.0859 0.2500
0.4150 0.5850 0.7500
0.5850 0.4150 0.2500
0.0000 0.5000 0.5000
0.1821 0.3384 0.9941
0.3384 0.1821 0.4941
0.5000 0.0000 0.0000
0.6616 0.8179 0.5059
0.8179 0.6616 0.0059
```

Calculated values
M_tot (μB/f.u.): 0.0
Formation energy (no corrections) (eV per atom): -1.47
Crystal system: monoclinic
V (Å³/cell): 216
Energy above the lowest structure with this stoichiometry (kJ/mol of formula units): 0.0



No. 10
Material: Er6IrRu2
Method: DFT, PBE
State: optimized geometry

The structure in POSCAR format:
```
Er6IrRu2
1.0
6.5472 0.0000 0.0000
0.0000 7.2828 0.0000
-6.2145 0.0000 9.3909
Er Ir Ru
12 2 4
Direct
0.0748 0.0422 0.2395
0.0748 0.4578 0.7395
0.2209 0.6700 0.0713
0.2209 0.8300 0.5713
0.3986 0.1711 0.0726
0.3986 0.3289 0.5726
0.6014 0.6711 0.4274
0.6014 0.8289 0.9274
0.7791 0.1700 0.4287
0.7791 0.3300 0.9287
0.9252 0.5422 0.2605
0.9252 0.9578 0.7605
0.5000 0.0000 0.5000
0.5000 0.5000 0.0000
0.3106 0.1309 0.7764
0.3106 0.3691 0.2764
0.6894 0.6309 0.7236
0.6894 0.8691 0.2236
```

Calculated values
M_tot (μB/f.u.): 0.0
Crystal system: monoclinic
V (Å³/cell): 448
Energy above the lowest structure with this stoichiometry (kJ/mol of formula units): 33.9
Calculated formation energy (eV per atom): -0.43
D(E_F) (states/eV/f.u.): 4.9



No. 11
Material: InCuSb2
Method: DFT, PBE
State: optimized geometry

The structure in POSCAR format:
```
InCuSb2
1.0
3.0858 0.0000 0.0000
0.0000 3.8213 0.0000
-1.5394 0.0000 8.2456
In Cu Sb
1 1 2
Direct
0.0000 0.0000 0.0000
0.5823 0.5000 0.1661
0.7026 0.0000 0.4048
0.8478 0.5000 0.6901
```

Calculated values
M_tot (μB/f.u.): 0.0
Formation energy (no corrections) (eV per atom): 0.12
Crystal system: monoclinic
V (Å³/cell): 97
D(E_F) (states/eV/f.u.): 1.2



No. 12
Material: V2CdRuBr
Method: DFT, PBE
State: optimized geometry

The structure in POSCAR format:
```
V2CdRuBr
1.0
4.4683 0.0000 0.0000
0.0000 4.4683 0.0000
0.0000 0.0000 4.6148
V Cd Ru Br
2 1 1 1
Direct
0.0000 0.5000 0.0000
0.5000 0.0000 0.0000
0.0000 0.0000 0.5000
0.5000 0.5000 0.5000
0.5000 0.5000 0.0000
```

Calculated values
M_tot (μB/f.u.): 0.0
Formation energy (no corrections) (eV per atom): 1.00
Crystal system: tetragonal
V (Å³/cell): 92
D(E_F) (states/eV/f.u.): 5.8